The following is a PBE-GGA calculation of crystalline SmMgRh at its relaxed geometry, from the Alexandria database. Values from VASP.

Output
Symmetry: No. 11
Crystal system: monoclinic

Geometry as Quantum ESPRESSO input:
```
&SYSTEM
  ibrav = 0, nat = 18, ntyp = 3
/
ATOMIC_SPECIES
Sm 150.36 Sm.upf
Mg 24.30 Mg.upf
Rh 102.91 Rh.upf
CELL_PARAMETERS angstrom
-0.9786 -0.8891 -3.9193
-6.8180 -1.7446 2.0981
-3.6712 12.0742 -1.8223
ATOMIC_POSITIONS crystal
Sm 0.7500 0.5401 0.3787
Sm 0.2500 0.9565 0.7147
Sm 0.7500 0.0435 0.2853
Sm 0.7500 0.6541 0.0837
Sm 0.2500 0.4599 0.6213
Sm 0.2500 0.3459 0.9163
Mg 0.2500 0.0025 0.0849
Mg 0.2500 0.8647 0.4605
Mg 0.7500 0.6309 0.7993
Mg 0.7500 0.1353 0.5395
Mg 0.2500 0.3691 0.2007
Mg 0.7500 0.9975 0.9151
Rh 0.2500 0.7510 0.9212
Rh 0.7500 0.2531 0.7505
Rh 0.7500 0.7511 0.5855
Rh 0.7500 0.2490 0.0788
Rh 0.2500 0.2489 0.4145
Rh 0.2500 0.7469 0.2495
```

The following is a PBE-GGA calculation of crystalline SmMg5Rh2 at its relaxed geometry, from the Alexandria database. Values from VASP.

Output
Symmetry: No. 71
Crystal system: orthorhombic

Geometry as Quantum ESPRESSO input:
```
&SYSTEM
  ibrav = 0, nat = 8, ntyp = 3
/
ATOMIC_SPECIES
Sm 150.36 Sm.upf
Mg 24.30 Mg.upf
Rh 102.91 Rh.upf
CELL_PARAMETERS angstrom
4.1541 0.0000 0.0000
2.0770 6.3752 -0.4951
2.0770 1.4458 6.2287
ATOMIC_POSITIONS crystal
Sm 0.0000 0.0000 0.0000
Mg 0.0000 0.5000 0.5000
Mg 0.6663 0.5164 0.1510
Mg 0.3337 0.4836 0.8490
Mg 0.3337 0.8490 0.4836
Mg 0.6663 0.1510 0.5164
Rh 0.7264 0.7736 0.7736
Rh 0.2736 0.2264 0.2264
```

The following is a PBE-GGA calculation of crystalline Sm3MgRh at its relaxed geometry, from the Alexandria database. Values from VASP.

Output
Symmetry: No. 221
Offset from the most stable computed form in meV/atom: 137
Crystal system: cubic

Geometry as Quantum ESPRESSO input:
```
&SYSTEM
  ibrav = 0, nat = 5, ntyp = 3
/
ATOMIC_SPECIES
Mg 24.30 Mg.upf
Rh 102.91 Rh.upf
Sm 150.36 Sm.upf
CELL_PARAMETERS angstrom
5.4750 0.0000 0.0000
0.0000 5.4750 0.0000
0.0000 0.0000 5.4750
ATOMIC_POSITIONS crystal
Mg 0.5000 0.5000 0.5000
Rh 0.0000 0.0000 0.0000
Sm 0.0000 0.5000 0.0000
Sm 0.0000 0.0000 0.5000
Sm 0.5000 0.0000 0.0000
```

The following is a PBE-GGA calculation of crystalline SmMg8Rh4 at its relaxed geometry, from the Alexandria database. Values from VASP.

Output
Symmetry: No. 139
Crystal system: tetragonal

Geometry as Quantum ESPRESSO input:
```
&SYSTEM
  ibrav = 0, nat = 13, ntyp = 3
/
ATOMIC_SPECIES
Sm 150.36 Sm.upf
Mg 24.30 Mg.upf
Rh 102.91 Rh.upf
CELL_PARAMETERS angstrom
5.3611 0.0000 2.1549
2.6806 6.4939 1.0775
0.2586 0.0000 7.1029
ATOMIC_POSITIONS crystal
Sm 0.0000 0.0000 0.0000
Mg 0.0000 0.3319 0.6681
Mg 0.0000 0.6681 0.3319
Mg 0.3319 0.6681 0.6681
Mg 0.6681 0.3319 0.3319
Mg 0.5000 0.7768 0.2232
Mg 0.5000 0.2232 0.7768
Mg 0.2768 0.2232 0.2232
Mg 0.7232 0.7768 0.7768
Rh 0.0000 0.0000 0.5000
Rh 0.5000 0.0000 0.5000
Rh 0.0000 0.5000 0.0000
Rh 0.5000 0.5000 0.0000
```

no.,ΔH_f (0 K) (eV per atom),energy (eV per atom)
1,-0.6275,-5.18
2,-0.3730,-3.80
3,-0.1977,-4.82
4,-0.3808,-3.99